(1)
VASP calculation (PBE) on an optimized crystal structure of BeOsW2.

```
BeOsW2
1.0
2.809 0.000 0.000
0.000 2.810 0.000
0.000 0.000 6.997
Be Os W
1 1 2
Direct
0.000 0.000 0.525 Be
0.500 0.500 0.714 Os
0.000 0.000 0.972 W
0.500 0.500 0.289 W
```

Calculated values
**Formation energy from the elements**: 0.25 eV per formula unit
**D(E_F)**: 2.01 states/eV per cell

(2)
VASP calculation (PBE) on an optimized crystal structure of Nb2MoW.

```
Nb2MoW
1.0
4.776 -1.839 -3.124
-1.447 4.909 3.124
-3.202 0.132 5.068
Mo Nb W
1 2 1
Direct
0.000 0.000 0.000 Mo
0.000 0.249 0.249 Nb
0.000 0.751 0.751 Nb
0.000 0.500 0.500 W
```

Calculated values
**Formation energy from the elements**: 3.12 eV per formula unit
**D(E_F)**: 3.74 states/eV per cell

(3)
VASP calculation (PBE) on an optimized crystal structure of Mn2Tl2CrS6.

```
Mn2Tl2CrS6
1.0
6.080 -0.013 0.075
-3.016 5.279 0.075
-1.104 -1.898 7.453
Mn Tl Cr S
2 2 1 6
Direct
0.332 0.668 0.500 Mn
0.668 0.332 0.500 Mn
0.834 0.166 0.000 Tl
0.166 0.834 0.000 Tl
0.000 0.000 0.500 Cr
0.721 0.721 0.671 S
0.057 0.391 0.673 S
0.279 0.279 0.329 S
0.391 0.057 0.673 S
0.943 0.609 0.327 S
0.609 0.943 0.327 S
```

Calculated values
**E_form (uncorrected)**: -6.0 eV per formula unit
**D(E_F)**: 4.10 states/eV per cell

(4)
VASP calculation (PBE) on an optimized crystal structure of NbInPd.

```
NbInPd
1.0
-4.477 0.721 0.640
-1.949 -1.102 3.995
-0.844 5.896 3.840
Pd Nb In
2 2 2
Direct
0.574 0.574 0.278 Pd
0.426 0.426 0.722 Pd
0.291 0.291 0.128 Nb
0.709 0.709 0.872 Nb
0.880 0.880 0.359 In
0.120 0.120 0.641 In
```

Calculated values
**Formation energy from the elements**: 0.22 eV per formula unit
**D(E_F)**: 6.80 states/eV per cell

(5)
VASP calculation (PBE) on an optimized crystal structure of Tb2Y4HoSc2.

```
Tb2Y4HoSc2
1.0
-2.128 1.624 -2.232
-2.204 -8.218 -1.157
-5.766 2.332 7.194
Tb Y Ho Sc
2 4 1 2
Direct
0.844 0.687 0.409 Tb
0.156 0.313 0.591 Tb
0.824 0.647 0.769 Y
0.176 0.353 0.231 Y
0.513 0.026 0.324 Y
0.487 0.974 0.676 Y
0.000 0.000 0.000 Ho
0.333 0.666 0.078 Sc
0.667 0.334 0.922 Sc
```

Calculated values
**Formation energy from the elements**: 0.44 eV per formula unit
**D(E_F)**: 14.25 states/eV per cell

(6)
VASP calculation (PBE) on an optimized crystal structure of Sr2TmInHg6.

```
Sr2TmInHg6
1.0
-3.003 5.675 4.645
-5.438 -5.090 2.704
-0.741 -1.237 7.792
Sr Tm In Hg
2 1 1 6
Direct
0.250 0.750 0.500 Sr
0.750 0.250 0.500 Sr
0.500 0.500 0.000 Tm
0.000 0.000 0.000 In
0.248 0.752 0.000 Hg
0.752 0.752 0.000 Hg
0.248 0.248 0.504 Hg
0.752 0.248 0.000 Hg
0.248 0.248 0.000 Hg
0.752 0.752 0.496 Hg
```

Calculated values
**Formation energy from the elements**: -1.21 eV per formula unit
**D(E_F)**: 8.33 states/eV per cell

(7)
VASP calculation (PBE) on an optimized crystal structure of Pr3Si2Cl3O7.

```
Pr3Si2Cl3O7
1.0
-6.886 7.889 -6.355
-2.848 -4.076 -1.973
-6.096 -1.412 4.851
Pr Si Cl O
6 4 6 14
Direct
0.102 0.702 0.469 Pr
0.123 0.966 0.921 Pr
0.623 0.034 0.079 Pr
0.377 0.552 0.797 Pr
0.877 0.448 0.203 Pr
0.602 0.298 0.531 Pr
0.176 0.384 0.183 Si
0.789 0.790 0.436 Si
0.676 0.616 0.817 Si
0.289 0.210 0.564 Si
0.506 0.848 0.443 Cl
0.509 0.457 0.169 Cl
0.885 0.991 0.994 Cl
0.006 0.152 0.557 Cl
0.385 0.009 0.006 Cl
0.009 0.543 0.831 Cl
0.914 0.722 0.405 O
0.572 0.425 0.804 O
0.254 0.899 0.618 O
0.641 0.915 0.808 O
0.737 0.442 0.998 O
0.720 0.658 0.304 O
0.220 0.342 0.696 O
0.746 0.616 0.638 O
0.754 0.101 0.382 O
0.246 0.384 0.362 O
0.072 0.575 0.196 O
0.141 0.085 0.192 O
0.237 0.558 0.002 O
0.414 0.278 0.595 O
```

Calculated values
**E_form (uncorrected)**: -44.0 eV per formula unit
**D(E_F)**: 0.00 states/eV per cell

(8)
VASP calculation (PBE) on an optimized crystal structure of HoPaPd2.

```
HoPaPd2
1.0
-1.916 -4.135 -1.976
2.950 -3.218 -2.369
0.997 -4.419 2.037
Pa Ho Pd
1 1 2
Direct
0.000 0.000 0.000 Pa
0.500 0.500 0.500 Ho
0.250 0.250 0.250 Pd
0.750 0.750 0.750 Pd
```

Calculated values
**Polymorph energy (0 for the lowest one)**: 43 meV/atom
**Formation energy from the elements**: -2.23 eV per formula unit
**D(E_F)**: 6.45 states/eV per cell

(9)
VASP calculation (PBE) on an optimized crystal structure of BaBeRe2.

```
BaBeRe2
1.0
-2.578 -2.890 -2.679
1.847 -1.855 -3.915
1.027 -4.593 -0.172
Re Ba Be
2 1 1
Direct
0.000 0.000 0.000 Re
0.250 0.250 0.250 Re
0.500 0.500 0.500 Ba
0.750 0.750 0.750 Be
```

Calculated values
**Formation energy from the elements**: 5.63 eV per formula unit
**D(E_F)**: 2.76 states/eV per cell

(10)
VASP calculation (PBE) on an optimized crystal structure of La4Tb5Pr2.

```
La4Tb5Pr2
1.0
3.561 0.000 0.000
0.000 9.399 0.000
-1.780 -4.699 11.596
La Tb Pr
4 5 2
Direct
0.000 0.290 0.000 La
0.594 0.594 0.187 La
0.000 0.710 0.000 La
0.406 0.406 0.813 La
0.855 0.048 0.710 Tb
0.855 0.663 0.710 Tb
0.145 0.337 0.290 Tb
0.145 0.952 0.290 Tb
0.500 0.000 0.000 Tb
0.271 0.271 0.542 Pr
0.729 0.729 0.458 Pr
```

Calculated values
**Polymorph energy (0 for the lowest one)**: 154 meV/atom
**Formation energy from the elements**: 2.71 eV per formula unit
**D(E_F)**: 15.02 states/eV per cell

(11)
VASP calculation (PBE) on an optimized crystal structure of ErAlZn2.

```
ErAlZn2
1.0
4.705 0.000 0.000
2.352 4.074 0.000
2.352 1.358 3.841
Zn Al Er
2 1 1
Direct
0.250 0.250 0.250 Zn
0.750 0.750 0.750 Zn
0.500 0.500 0.500 Al
0.000 0.000 0.000 Er
```

Calculated values
**Polymorph energy (0 for the lowest one)**: 106 meV/atom
**Formation energy from the elements**: -1.15 eV per formula unit
**D(E_F)**: 1.60 states/eV per cell

What is the D(E_F) in the first record? 2.01 states/eV per cell

D(E_F) of number 11 (ErAlZn2)? 1.60 states/eV per cell

Number 6 is which compound? Sr2TmInHg6